(1)
{
  "formula": "ZnCr2Cu",
  "functional": "PBE",
  "state": "relaxed",
  "formation_energy_ev_per_atom": 0.23,
  "dos_at_fermi_per_ev_cell": 2.1,
  "crystal_system": "monoclinic",
  "volume_a3_per_cell": 49,
  "cell": [[-0.5625, -2.4789, 3.2081], [-0.5317, -1.8439, -1.5180], [4.2262, -2.8814, -1.4855]],
  "species": ["Cr", "Cr", "Cu", "Zn"],
  "frac_coords": [[0.0000, 0.9961, 0.0098], [0.0000, 0.5039, 0.4902], [0.5000, 0.2500, 0.2500], [0.5000, 0.7500, 0.7500]]
}

(2)
{
  "formula": "PmThAu2",
  "functional": "PBE",
  "state": "relaxed",
  "formation_energy_ev_per_atom": -0.67,
  "dos_at_fermi_per_ev_cell": 3.3,
  "crystal_system": "tetragonal",
  "volume_a3_per_cell": 102,
  "cell": [[3.6420, 0.0000, 0.0000], [0.0000, 5.2834, 0.0000], [0.0000, 0.0000, 5.2834]],
  "species": ["Au", "Au", "Th", "Pm"],
  "frac_coords": [[0.0000, 0.0000, 0.5000], [0.0000, 0.5000, 0.0000], [0.5000, 0.0000, 0.0000], [0.5000, 0.5000, 0.5000]]
}

(3)
{
  "formula": "BeCdAu4",
  "functional": "PBE",
  "state": "relaxed",
  "formation_energy_ev_per_atom": -0.10,
  "dos_at_fermi_per_ev_cell": 1.4,
  "crystal_system": "tetragonal",
  "volume_a3_per_cell": 115,
  "cell": [[3.9558, 0.0000, 0.0000], [0.0000, 3.9558, 0.0000], [0.0000, 0.0000, 7.3387]],
  "species": ["Be", "Cd", "Au", "Au", "Au", "Au"],
  "frac_coords": [[0.5000, 0.5000, 0.5000], [0.0000, 0.0000, 0.0000], [0.5000, 0.0000, 0.7028], [0.0000, 0.5000, 0.7028], [0.5000, 0.0000, 0.2972], [0.0000, 0.5000, 0.2972]]
}

(4)
{
  "formula": "KAs2IrO8",
  "functional": "PBE",
  "state": "relaxed",
  "raw_formation_energy_ev_per_fu": -11.4,
  "dos_at_fermi_per_ev_cell": 5.6,
  "crystal_system": "trigonal",
  "volume_a3_per_cell": 226,
  "cell": [[5.4736, 0.0000, 0.0000], [2.7368, 4.7403, 0.0000], [2.7368, 1.5801, 8.7082]],
  "species": ["K", "As", "As", "Ir", "O", "O", "O", "O", "O", "O", "O", "O"],
  "frac_coords": [[0.0000, 0.0000, 0.0000], [0.7660, 0.7660, 0.7019], [0.2340, 0.2340, 0.2981], [0.5000, 0.5000, 0.5000], [0.7023, 0.7023, 0.8930], [0.2977, 0.2977, 0.1070], [0.3954, 0.3828, 0.3565], [0.6172, 0.6046, 0.6435], [0.1347, 0.6172, 0.6435], [0.3828, 0.8653, 0.3565], [0.8653, 0.3954, 0.3565], [0.6046, 0.1347, 0.6435]]
}

(5)
{
  "formula": "TbPm6YTh2",
  "functional": "PBE",
  "state": "relaxed",
  "formation_energy_ev_per_atom": 0.15,
  "dos_at_fermi_per_ev_cell": 31.1,
  "crystal_system": "monoclinic",
  "volume_a3_per_cell": 681,
  "cell": [[9.7718, -2.6847, -2.7861], [0.5657, 8.4472, -1.9355], [0.5657, -2.2472, 8.3696]],
  "species": ["Tb", "Tb", "Pm", "Pm", "Pm", "Pm", "Pm", "Pm", "Pm", "Pm", "Pm", "Pm", "Pm", "Pm", "Y", "Y", "Th", "Th", "Th", "Th"],
  "frac_coords": [[0.2500, 0.4006, 0.5994], [0.7500, 0.5994, 0.4006], [0.0486, 0.1118, 0.7417], [0.4514, 0.2583, 0.8882], [0.9514, 0.8882, 0.2583], [0.5486, 0.7417, 0.1118], [0.3283, 0.9808, 0.4232], [0.1717, 0.5768, 0.0192], [0.6717, 0.0192, 0.5768], [0.8283, 0.4232, 0.9808], [0.1185, 0.6918, 0.4944], [0.3815, 0.5056, 0.3082], [0.8815, 0.3082, 0.5056], [0.6185, 0.4944, 0.6918], [0.2500, 0.9914, 0.0086], [0.7500, 0.0086, 0.9914], [0.4552, 0.8173, 0.7365], [0.0448, 0.2635, 0.1827], [0.5448, 0.1827, 0.2635], [0.9552, 0.7365, 0.8173]]
}